# PmTlHgPt | the Alexandria database | PBE | relaxed
# Uncorrected energy, eV for the cell shown: -61.6
# Total moment, μB per atom: 0.000
data_PmTlHgPt
_cell_length_a 7.217
_cell_length_b 7.217
_cell_length_c 7.217
_cell_angle_alpha 90.00
_cell_angle_beta 90.00
_cell_angle_gamma 90.00
_space_group_name_H-M_alt 'F -4 3 m'
_space_group_IT_number 216
_space_group_name_Hall 'F -4 2 3'
loop_
_atom_site_label
_atom_site_type_symbol
_atom_site_fract_x
_atom_site_fract_y
_atom_site_fract_z
_atom_site_occupancy
Pm1 Pm 0.000 0.000 0.000 1
Tl1 Tl 0.000 0.000 0.500 1
Hg1 Hg 0.250 0.250 0.250 1
Pt1 Pt 0.250 0.250 0.750 1

***

# BTe2Mo | the Alexandria database | PBE | relaxed
# Uncorrected energy, eV for the cell shown: -57.7
# Raw formation energy, eV per atom: 1.14
# Total moment, μB per atom: 0.000
data_BTe2Mo
_cell_length_a 3.3677
_cell_length_b 3.3677
_cell_length_c 24.5598
_cell_angle_alpha 90.00
_cell_angle_beta 90.00
_cell_angle_gamma 120.00
_space_group_name_H-M_alt 'R -3 m'
_space_group_IT_number 166
_space_group_name_Hall '-R 3 2"'
loop_
_atom_site_label
_atom_site_type_symbol
_atom_site_fract_x
_atom_site_fract_y
_atom_site_fract_z
_atom_site_occupancy
B1 B 0.0000 0.0000 0.0000 1
Te1 Te 0.0000 0.0000 0.3937 1
Mo1 Mo 0.0000 0.0000 0.5000 1

***

# BaBeSi3 | the Alexandria database | PBE | relaxed
# Uncorrected energy, eV for the cell shown: -10.4
# Raw formation energy, eV per atom: 2.30
# ΔE to the lowest computed polymorph, eV per formula unit: 9.79
# Total moment, μB per atom: 0.000
data_BaBeSi3
_cell_length_a 5.656
_cell_length_b 5.656
_cell_length_c 5.656
_cell_angle_alpha 90.00
_cell_angle_beta 90.00
_cell_angle_gamma 90.00
_space_group_name_H-M_alt 'P m -3 m'
_space_group_IT_number 221
_space_group_name_Hall '-P 4 2 3'
loop_
_atom_site_label
_atom_site_type_symbol
_atom_site_fract_x
_atom_site_fract_y
_atom_site_fract_z
_atom_site_occupancy
Ba1 Ba 0.000 0.000 0.000 1
Be1 Be 0.500 0.500 0.500 1
Si1 Si 0.000 0.000 0.500 1

***

# GaTcIO2 | the Alexandria database | PBE | relaxed
# Uncorrected energy, eV for the cell shown: -24.1
# Raw formation energy, eV per atom: 0.16
# ΔE to the lowest computed polymorph, eV per formula unit: 3.13
# Total moment, μB per atom: 0.871
data_GaTcIO2
_cell_length_a 3.883
_cell_length_b 3.883
_cell_length_c 5.970
_cell_angle_alpha 90.00
_cell_angle_beta 90.00
_cell_angle_gamma 90.00
_space_group_name_H-M_alt 'P 4/m m m'
_space_group_IT_number 123
_space_group_name_Hall '-P 4 2'
loop_
_atom_site_label
_atom_site_type_symbol
_atom_site_fract_x
_atom_site_fract_y
_atom_site_fract_z
_atom_site_occupancy
Ga1 Ga 0.000 0.000 0.000 1
Tc1 Tc 0.500 0.500 0.500 1
I1 I 0.000 0.000 0.500 1
O1 O 0.000 0.500 0.000 1

***

# PrNd2Hg | the Alexandria database | PBE | relaxed
# Uncorrected energy, eV for the cell shown: -59.4
# ΔE to the lowest computed polymorph, eV per formula unit: 0.70
# Total moment, μB per atom: 0.000
data_PrNd2Hg
_cell_length_a 7.891
_cell_length_b 7.891
_cell_length_c 7.891
_cell_angle_alpha 90.00
_cell_angle_beta 90.00
_cell_angle_gamma 90.00
_space_group_name_H-M_alt 'F m -3 m'
_space_group_IT_number 225
_space_group_name_Hall '-F 4 2 3'
loop_
_atom_site_label
_atom_site_type_symbol
_atom_site_fract_x
_atom_site_fract_y
_atom_site_fract_z
_atom_site_occupancy
Pr1 Pr 0.000 0.000 0.000 1
Nd1 Nd 0.250 0.250 0.250 1
Hg1 Hg 0.000 0.000 0.500 1

***

# As2IrWBr | the Alexandria database | PBE | relaxed
# Uncorrected energy, eV for the cell shown: -25.7
# Raw formation energy, eV per atom: 1.42
# ΔE to the lowest computed polymorph, eV per formula unit: 0.33
# Total moment, μB per atom: 0.673
data_As2IrWBr
_cell_length_a 4.758
_cell_length_b 4.758
_cell_length_c 5.158
_cell_angle_alpha 90.00
_cell_angle_beta 90.00
_cell_angle_gamma 90.00
_space_group_name_H-M_alt 'P 4/m m m'
_space_group_IT_number 123
_space_group_name_Hall '-P 4 2'
loop_
_atom_site_label
_atom_site_type_symbol
_atom_site_fract_x
_atom_site_fract_y
_atom_site_fract_z
_atom_site_occupancy
As1 As 0.000 0.500 0.000 1
Ir1 Ir 0.000 0.000 0.000 1
W1 W 0.500 0.500 0.500 1
Br1 Br 0.000 0.000 0.500 1

***

Question: Look up the uncorrected energy of the fourth one.
Answer: -24.1 eV for the cell shown